Density functional theory data (PBE) for Tm4Pt after structural relaxation.

Results
The value obtained for the polymorph energy (0 for the lowest one) is 166 meV/atom. As for the total energy: -25.6 eV per cell. For the energy relative to the elements, the calculation gives -0.332 eV/atom.

Cell lengths 5.397, 5.397, 5.397 Å; angles 90.00, 90.00, 90.00 degrees
Element x y z (fractional)
Tm: 0.000 0.000 0.000
Tm: 0.500 0.000 0.500
Tm: 0.000 0.500 0.500
Tm: 0.500 0.500 0.000
Pt: 0.500 0.500 0.500


Density functional theory data (PBE) for Pa3Ga12Tc after structural relaxation.

Results
As for the total energy: -80.0 eV per cell. For the energy relative to the elements, the calculation gives -0.299 eV/atom.

Cell lengths 4.289, 4.289, 16.213 Å; angles 90.00, 90.00, 90.00 degrees
Element x y z (fractional)
Pa: 0.000 0.000 0.233
Pa: 0.000 0.000 0.500
Pa: 0.000 0.000 0.767
Ga: 0.500 0.500 0.000
Ga: 0.500 0.500 0.239
Ga: 0.500 0.500 0.500
Ga: 0.500 0.500 0.761
Ga: 0.500 0.000 0.103
Ga: 0.500 0.000 0.367
Ga: 0.500 0.000 0.633
Ga: 0.500 0.000 0.897
Ga: 0.000 0.500 0.103
Ga: 0.000 0.500 0.367
Ga: 0.000 0.500 0.633
Ga: 0.000 0.500 0.897
Tc: 0.000 0.000 0.000